Version P
Below is a geometry-optimized BaLuPO structure, with properties calculated at the PBE-GGA level.

**Crystal system**: tetragonal
**M_tot**: 0.0005 μB per atom

```
8
Lattice="4.6702 0.0000 0.0000 0.0000 4.6702 0.0000 0.0000 0.0000 9.8089" Properties=species:S:1:pos:R:3 pbc="T T T"
Ba 3.5026 1.1676 4.9044
Ba 1.1676 3.5026 4.9044
Lu 3.5027 3.5027 0.4513
Lu 1.1675 1.1675 9.3576
O 3.5026 1.1676 0.0000
O 1.1676 3.5026 0.0000
P 3.5026 3.5026 2.9975
P 1.1676 1.1676 6.8113
```


Version Q
Below is a geometry-optimized BaLuPO structure, with properties calculated at the PBE-GGA level.

**Crystal system**: orthorhombic
**M_tot**: 0.0006 μB per atom

```
8
Lattice="-3.4592 2.5378 1.5773 2.4107 -1.0777 7.0208 3.7090 5.3378 -0.4542" Properties=species:S:1:pos:R:3 pbc="T T T"
Ba 2.1386 2.1535 1.2252
Ba 5.4238 4.1828 5.1648
Lu -0.7204 0.9882 3.4536
Lu 1.7072 3.4009 4.8953
O 0.4930 2.7338 3.3061
O 2.9198 5.1468 4.7457
P 3.4804 1.4784 5.2540
P 4.0022 4.7431 1.1457
```


Which structure is most stable? version Q, by 0.517 eV/atom over the runner-up.


Version P
Below is a geometry-optimized BaLuPO structure, with properties calculated at the PBE-GGA level.

**Crystal system**: orthorhombic
**M_tot**: 0.0014 μB per atom

```
8
Lattice="3.9254 0.0000 0.0000 0.0000 6.8476 0.0000 0.0000 0.0000 7.4263" Properties=species:S:1:pos:R:3 pbc="T T T"
Ba 1.9627 2.9876 0.7072
Ba 1.9627 3.8600 4.4203
Lu 0.0000 0.7686 3.4101
Lu 0.0000 6.0790 7.1233
O 1.9627 1.5472 2.9121
O 1.9627 5.3004 6.6253
P 0.0000 5.2009 2.2832
P 0.0000 1.6467 5.9964
```


Version Q
Below is a geometry-optimized BaLuPO structure, with properties calculated at the PBE-GGA level.

**Crystal system**: tetragonal
**M_tot**: 0.0324 μB per atom

```
8
Lattice="-3.4201 1.4321 3.1135 -2.5949 -3.9553 -1.0311 4.4283 -4.7419 7.0455" Properties=species:S:1:pos:R:3 pbc="T T T"
Ba -1.0584 -1.1077 1.2291
Ba -0.5283 -6.1575 7.8987
Lu -0.9997 -2.2857 5.6001
Lu -0.5871 -4.9794 3.5278
O -3.2138 0.0852 2.0773
O -2.8012 -2.6085 0.0050
P -2.8107 -3.7134 4.2674
P 1.2240 -3.5517 4.8605
```


Which structure is most stable? version P, by 0.306 eV/atom over the runner-up.


Version P
Below is a geometry-optimized BaLuOs structure, with properties calculated at the PBE-GGA level.

**Crystal system**: cubic
**M_tot**: 0.0007 μB per atom

```
3
Lattice="-1.7107 -3.4316 -3.1493 -4.3694 0.6616 -2.2563 -0.1596 0.9579 -4.8659" Properties=species:S:1:pos:R:3 pbc="T T T"
Ba -1.5599 -0.4530 -2.5679
Lu -4.6798 -1.3590 -7.7036
Os 0.0000 0.0000 0.0000
```


Version Q
Below is a geometry-optimized BaLuOs structure, with properties calculated at the PBE-GGA level.

**Crystal system**: cubic
**M_tot**: 0.0004 μB per atom

```
3
Lattice="0.0000 3.4517 3.4517 3.4517 0.0000 3.4517 3.4517 3.4517 0.0000" Properties=species:S:1:pos:R:3 pbc="T T T"
Ba 0.0000 0.0000 0.0000
Lu 1.7259 1.7259 1.7259
Os 5.1776 5.1776 5.1776
```


Which structure is most stable? version P, by 1.084 eV/atom over the runner-up.


Version P
Below is a geometry-optimized BaLuPt structure, with properties calculated at the PBE-GGA level.

**Crystal system**: cubic
**M_tot**: 0.0063 μB per atom

```
3
Lattice="0.1553 -0.1203 5.3403 1.9761 4.1604 2.7100 -3.2668 3.1342 2.8393" Properties=species:S:1:pos:R:3 pbc="T T T"
Ba 0.0000 0.0000 0.0000
Lu -0.2839 1.7936 2.7224
Pt -0.8516 5.3808 8.1672
```


Version Q
Below is a geometry-optimized BaLuPt structure, with properties calculated at the PBE-GGA level.

**Crystal system**: cubic
**M_tot**: 0.0001 μB per atom

```
3
Lattice="0.0000 3.6154 3.6154 3.6154 0.0000 3.6154 3.6154 3.6154 0.0000" Properties=species:S:1:pos:R:3 pbc="T T T"
Ba 1.8077 1.8077 1.8077
Lu 5.4231 5.4231 5.4231
Pt 0.0000 0.0000 0.0000
```


Which structure is most stable? version Q, by 0.973 eV/atom over the runner-up.